## CsVSbF6 (PBE+U)

Data for a geometry-optimized CsVSbF6 structure.

Cell lengths 5.7063, 5.9699, 6.0313 Å; angles 90.54, 115.75, 90.25 degrees
Atoms (fractional coordinates):
1 Cs 0.0000 0.0000 0.0000
2 V 0.3251 0.5590 0.6876
3 Sb 0.6600 0.4861 0.3064
4 F 0.1020 0.3339 0.4459
5 F 0.2755 0.4280 0.9739
6 F 0.4185 0.6839 0.4097
7 F 0.4518 0.8321 0.8658
8 F 0.6441 0.4023 0.7992
9 F 0.9608 0.7016 0.5747

Calculated values
- Electronic total energy: -46.02 eV/f.u.